The following is a PBE-GGA calculation of an optimized crystal structure of BeReAu2, from Alexandria.

The structure in CIF format:
```
data_BeReAu2
_chemical_formula_sum 'Be1 Re1 Au2'
_symmetry_space_group_name_H-M 'P 1'
_symmetry_Int_Tables_number 1
_cell_length_a 2.7714
_cell_length_b 2.8483
_cell_length_c 7.4479
_cell_angle_alpha 90.00
_cell_angle_beta 90.00
_cell_angle_gamma 90.00
loop_
_symmetry_equiv_pos_as_xyz
'x,y,z'
loop_
_atom_site_label
_atom_site_fract_x
_atom_site_fract_y
_atom_site_fract_z
_atom_site_occupancy
Re1 0.5000 0.5000 0.7081 1
Au1 0.5000 0.5000 0.3003 1
Au2 0.0000 0.0000 0.9866 1
Be1 0.0000 0.0000 0.5050 1
```

## Properties
Space-group type: No. 25
Formation enthalpy at 0 K in eV/atom: 0.192

=====

The following is a PBE-GGA calculation of an optimized crystal structure of Tb4Pm3Ho3, from Alexandria.

The structure in CIF format:
```
data_Tb4Pm3Ho3
_chemical_formula_sum 'Tb4 Pm3 Ho3'
_symmetry_space_group_name_H-M 'P 1'
_symmetry_Int_Tables_number 1
_cell_length_a 3.7070
_cell_length_b 9.4157
_cell_length_c 9.4157
_cell_angle_alpha 90.26
_cell_angle_beta 90.00
_cell_angle_gamma 90.00
loop_
_symmetry_equiv_pos_as_xyz
'x,y,z'
loop_
_atom_site_label
_atom_site_fract_x
_atom_site_fract_y
_atom_site_fract_z
_atom_site_occupancy
Tb1 0.0000 0.1280 0.1240 1
Tb2 0.0000 0.3723 0.6277 1
Tb3 0.0000 0.8760 0.8720 1
Tb4 0.0000 0.6267 0.3733 1
Ho1 0.0000 0.4955 0.9981 1
Ho2 0.5000 0.1731 0.8269 1
Ho3 0.0000 0.0019 0.5045 1
Pm1 0.5000 0.3264 0.3276 1
Pm2 0.5000 0.6724 0.6736 1
Pm3 0.5000 0.8277 0.1723 1
```

## Properties
Space-group type: No. 38
Formation enthalpy at 0 K in eV/atom: 0.100

=====

The following is a PBE-GGA calculation of an optimized crystal structure of CaFe2Te, from Alexandria.

The structure in CIF format:
```
data_CaFe2Te
_chemical_formula_sum 'Ca1 Fe2 Te1'
_symmetry_space_group_name_H-M 'P 1'
_symmetry_Int_Tables_number 1
_cell_length_a 4.4484
_cell_length_b 4.4484
_cell_length_c 4.4484
_cell_angle_alpha 60.00
_cell_angle_beta 60.00
_cell_angle_gamma 60.00
loop_
_symmetry_equiv_pos_as_xyz
'x,y,z'
loop_
_atom_site_label
_atom_site_fract_x
_atom_site_fract_y
_atom_site_fract_z
_atom_site_occupancy
Te1 0.5000 0.5000 0.5000 1
Fe1 0.2500 0.2500 0.2500 1
Fe2 0.7500 0.7500 0.7500 1
Ca1 0.0000 0.0000 0.0000 1
```

## Properties
Uncorrected formation energy in eV per atom: 0.389
Space-group type: No. 225

=====

The following is a PBE-GGA calculation of an optimized crystal structure of SmDyRuAu, from Alexandria.

The structure in CIF format:
```
data_SmDyRuAu
_chemical_formula_sum 'Sm1 Dy1 Ru1 Au1'
_symmetry_space_group_name_H-M 'P 1'
_symmetry_Int_Tables_number 1
_cell_length_a 3.4694
_cell_length_b 3.4694
_cell_length_c 7.3672
_cell_angle_alpha 90.00
_cell_angle_beta 90.00
_cell_angle_gamma 90.00
loop_
_symmetry_equiv_pos_as_xyz
'x,y,z'
loop_
_atom_site_label
_atom_site_fract_x
_atom_site_fract_y
_atom_site_fract_z
_atom_site_occupancy
Sm1 0.0000 0.0000 0.8777 1
Ru1 0.5000 0.5000 0.1150 1
Au1 0.5000 0.5000 0.5962 1
Dy1 0.0000 0.0000 0.3391 1
```

## Properties
Space-group type: No. 99
Formation enthalpy at 0 K in eV/atom: -0.597

=====

The following is a PBE-GGA calculation of an optimized crystal structure of Dy3ThPd12, from Alexandria.

The structure in CIF format:
```
data_Dy3ThPd12
_chemical_formula_sum 'Dy3 Th1 Pd12'
_symmetry_space_group_name_H-M 'P 1'
_symmetry_Int_Tables_number 1
_cell_length_a 4.1529
_cell_length_b 4.1529
_cell_length_c 16.5227
_cell_angle_alpha 90.00
_cell_angle_beta 90.00
_cell_angle_gamma 90.00
loop_
_symmetry_equiv_pos_as_xyz
'x,y,z'
loop_
_atom_site_label
_atom_site_fract_x
_atom_site_fract_y
_atom_site_fract_z
_atom_site_occupancy
Dy1 0.0000 0.0000 0.5000 1
Dy2 0.0000 0.0000 0.2535 1
Dy3 0.0000 0.0000 0.7465 1
Pd1 0.5000 0.5000 0.7487 1
Pd2 0.5000 0.5000 0.5000 1
Pd3 0.5000 0.0000 0.8734 1
Pd4 0.0000 0.5000 0.6243 1
Pd5 0.0000 0.5000 0.1266 1
Pd6 0.0000 0.5000 0.3757 1
Pd7 0.0000 0.5000 0.8734 1
Pd8 0.5000 0.0000 0.1266 1
Pd9 0.5000 0.0000 0.3757 1
Pd10 0.5000 0.0000 0.6243 1
Pd11 0.5000 0.5000 0.2513 1
Pd12 0.5000 0.5000 0.0000 1
Th1 0.0000 0.0000 0.0000 1
```

## Properties
Space-group type: No. 123
Formation enthalpy at 0 K in eV/atom: -0.918

=====

The following is a PBE-GGA calculation of an optimized crystal structure of Mn3TlBr9, from Alexandria.

The structure in CIF format:
```
data_Mn3TlBr9
_chemical_formula_sum 'Mn6 Tl2 Br18'
_symmetry_space_group_name_H-M 'P 1'
_symmetry_Int_Tables_number 1
_cell_length_a 9.6586
_cell_length_b 11.2674
_cell_length_c 11.9037
_cell_angle_alpha 70.36
_cell_angle_beta 66.07
_cell_angle_gamma 64.62
loop_
_symmetry_equiv_pos_as_xyz
'x,y,z'
loop_
_atom_site_label
_atom_site_fract_x
_atom_site_fract_y
_atom_site_fract_z
_atom_site_occupancy
Br1 0.0105 0.5860 0.2385 1
Br2 0.3082 0.8391 0.3932 1
Br3 0.4594 0.3391 0.8932 1
Br4 0.2753 0.9209 0.0608 1
Br5 0.8555 0.9235 0.3793 1
Br6 0.8334 0.0355 0.0479 1
Br7 0.6929 0.7325 0.0577 1
Br8 0.5872 0.7268 0.7097 1
Br9 0.3297 0.2466 0.2991 1
Br10 0.1246 0.7466 0.7991 1
Br11 0.0832 0.5355 0.5479 1
Br12 0.8417 0.4235 0.8793 1
Br13 0.4636 0.5195 0.2702 1
Br14 0.9762 0.2268 0.2097 1
Br15 0.7467 0.0195 0.7702 1
Br16 0.5168 0.2325 0.5577 1
Br17 0.1649 0.0860 0.7385 1
Br18 0.7429 0.4209 0.5608 1
Mn1 0.6023 0.2594 0.7034 1
Mn2 0.2124 0.4661 0.3403 1
Mn3 0.9812 0.9661 0.8403 1
Mn4 0.8085 0.5256 0.6791 1
Mn5 0.4350 0.7594 0.2034 1
Mn6 0.9868 0.0256 0.1791 1
Tl1 0.0609 0.4761 0.9985 1
Tl2 0.4645 0.9761 0.4985 1
```

## Properties
Uncorrected formation energy in eV per atom: -0.646
Space-group type: No. 9

=====

The following is a PBE-GGA calculation of an optimized crystal structure of PuGaCoP, from Alexandria.

The structure in CIF format:
```
data_PuGaCoP
_chemical_formula_sum 'Pu1 Ga1 Co1 P1'
_symmetry_space_group_name_H-M 'P 1'
_symmetry_Int_Tables_number 1
_cell_length_a 3.2943
_cell_length_b 3.7037
_cell_length_c 5.9081
_cell_angle_alpha 108.27
_cell_angle_beta 90.00
_cell_angle_gamma 90.00
loop_
_symmetry_equiv_pos_as_xyz
'x,y,z'
loop_
_atom_site_label
_atom_site_fract_x
_atom_site_fract_y
_atom_site_fract_z
_atom_site_occupancy
Pu1 0.5000 0.2712 0.5423 1
Co1 0.5000 0.5285 0.0570 1
P1 0.0000 0.6556 0.3111 1
Ga1 0.0000 0.9752 0.9503 1
```

## Properties
Space-group type: No. 38
Formation enthalpy at 0 K in eV/atom: -0.493

=====

The following is a PBE-GGA calculation of an optimized crystal structure of Ac2CeRh, from Alexandria.

The structure in CIF format:
```
data_Ac2CeRh
_chemical_formula_sum 'Ac2 Ce1 Rh1'
_symmetry_space_group_name_H-M 'P 1'
_symmetry_Int_Tables_number 1
_cell_length_a 4.0269
_cell_length_b 4.0269
_cell_length_c 11.2159
_cell_angle_alpha 79.66
_cell_angle_beta 79.66
_cell_angle_gamma 60.00
loop_
_symmetry_equiv_pos_as_xyz
'x,y,z'
loop_
_atom_site_label
_atom_site_fract_x
_atom_site_fract_y
_atom_site_fract_z
_atom_site_occupancy
Rh1 0.5000 0.5000 0.5000 1
Ce1 0.0000 0.0000 0.0000 1
Ac1 0.1126 0.1126 0.6621 1
Ac2 0.8874 0.8874 0.3379 1
```

## Properties
Space-group type: No. 166
Formation enthalpy at 0 K in eV/atom: -0.030

=====

The following is a PBE-GGA calculation of an optimized crystal structure of HoIn2Au6, from Alexandria.

The structure in CIF format:
```
data_HoIn2Au6
_chemical_formula_sum 'Ho2 In4 Au12'
_symmetry_space_group_name_H-M 'P 1'
_symmetry_Int_Tables_number 1
_cell_length_a 5.2729
_cell_length_b 8.8647
_cell_length_c 8.8647
_cell_angle_alpha 119.26
_cell_angle_beta 90.56
_cell_angle_gamma 90.56
loop_
_symmetry_equiv_pos_as_xyz
'x,y,z'
loop_
_atom_site_label
_atom_site_fract_x
_atom_site_fract_y
_atom_site_fract_z
_atom_site_occupancy
Au1 0.9993 0.4977 0.3343 1
Au2 0.4994 0.0027 0.1656 1
Au3 0.5006 0.9973 0.8344 1
Au4 0.9994 0.1656 0.0027 1
Au5 0.7455 0.0857 0.5863 1
Au6 0.0007 0.5023 0.6657 1
Au7 0.7545 0.4137 0.9143 1
Au8 0.4993 0.3343 0.4977 1
Au9 0.5007 0.6657 0.5023 1
Au10 0.2545 0.9143 0.4137 1
Au11 0.2455 0.5863 0.0857 1
Au12 0.0006 0.8344 0.9973 1
In1 0.9985 0.1620 0.3386 1
In2 0.5015 0.6614 0.8380 1
In3 0.4985 0.3386 0.1620 1
In4 0.0015 0.8380 0.6614 1
Ho1 0.2500 0.2498 0.7502 1
Ho2 0.7500 0.7502 0.2498 1
```

## Properties
Space-group type: No. 15
Formation enthalpy at 0 K in eV/atom: -0.368

=====

The following is a PBE-GGA calculation of an optimized crystal structure of YTeI2Br, from Alexandria.

The structure in CIF format:
```
data_YTeI2Br
_chemical_formula_sum 'Y1 Te1 I2 Br1'
_symmetry_space_group_name_H-M 'P 1'
_symmetry_Int_Tables_number 1
_cell_length_a 5.6421
_cell_length_b 5.6421
_cell_length_c 5.9890
_cell_angle_alpha 90.00
_cell_angle_beta 90.00
_cell_angle_gamma 90.00
loop_
_symmetry_equiv_pos_as_xyz
'x,y,z'
loop_
_atom_site_label
_atom_site_fract_x
_atom_site_fract_y
_atom_site_fract_z
_atom_site_occupancy
Br1 0.0000 0.0000 0.0000 1
Y1 0.5000 0.5000 0.5000 1
Te1 0.0000 0.0000 0.5000 1
I1 0.5000 0.0000 0.0000 1
I2 0.0000 0.5000 0.0000 1
```

## Properties
Uncorrected formation energy in eV per atom: 0.276
Space-group type: No. 123